[1]
Computed, not measured: an optimized crystal structure of RbPt at the GGA-PBE level of DFT.

```
data_RbPt
_cell_length_a 3.686
_cell_length_b 3.686
_cell_length_c 10.330
_cell_angle_alpha 90.00
_cell_angle_beta 90.00
_cell_angle_gamma 90.00
_space_group_name_H-M_alt 'P 4/n m m'
_space_group_IT_number 129
loop_
_space_group_symop_operation_xyz
'x,y,z'
'-x,-y,-z'
'-y+1/2,x,z'
'y+1/2,-x,-z'
'-x+1/2,-y+1/2,z'
'x+1/2,y+1/2,-z'
'y,-x+1/2,z'
'-y,x+1/2,-z'
'x+1/2,-y,-z'
'-x+1/2,y,z'
'-y,-x,-z'
'y,x,z'
'-x,y+1/2,-z'
'x,-y+1/2,z'
'y+1/2,x+1/2,-z'
'-y+1/2,-x+1/2,z'
loop_
_atom_site_label
_atom_site_type_symbol
_atom_site_fract_x
_atom_site_fract_y
_atom_site_fract_z
_atom_site_occupancy
Rb1 Rb 0.250 0.250 0.226 1
Pt1 Pt 0.250 0.250 0.525 1
```

***

[2]
# KCa2Tl2, optimized geometry, DFT GGA-PBE
# Distance to the lowest polymorph of the same formula, meV per atom: 214
data_KCa2Tl2
_cell_length_a 5.893
_cell_length_b 5.893
_cell_length_c 12.092
_cell_angle_alpha 90.00
_cell_angle_beta 90.00
_cell_angle_gamma 90.00
_space_group_name_H-M_alt 'I 4/m m m'
_space_group_IT_number 139
_space_group_name_Hall '-I 4 2'
loop_
_atom_site_label
_atom_site_type_symbol
_atom_site_fract_x
_atom_site_fract_y
_atom_site_fract_z
_atom_site_occupancy
K1 K 0.000 0.000 0.000 1
Ca1 Ca 0.000 0.000 0.345 1
Tl1 Tl 0.000 0.500 0.250 1

***

[3]
Computed, not measured: an optimized crystal structure of Pm4DyHg3 at the GGA-PBE level of DFT.

```
data_Pm4DyHg3
_cell_length_a 5.3760
_cell_length_b 5.3760
_cell_length_c 27.8608
_cell_angle_alpha 90.00
_cell_angle_beta 90.00
_cell_angle_gamma 120.00
_space_group_name_H-M_alt 'R -3 m'
_space_group_IT_number 166
_space_group_name_Hall '-R 3 2"'
loop_
_atom_site_label
_atom_site_type_symbol
_atom_site_fract_x
_atom_site_fract_y
_atom_site_fract_z
_atom_site_occupancy
Pm1 Pm 0.0000 0.0000 0.1120 1
Pm2 Pm 0.0000 0.0000 0.3699 1
Dy1 Dy 0.0000 0.0000 0.5000 1
Hg1 Hg 0.0000 0.0000 0.0000 1
Hg2 Hg 0.0000 0.0000 0.2324 1
```

***

The records above yield energy of formation from the pure elements values of 0.077, -0.025, -0.298 eV/atom, respectively.
The records above yield spin magnetization values of 0.000, 0.000, 0.000 μB/atom, respectively.